First-principles (PBE) data for a relaxed structure of BaP2PbI, as listed in the Alexandria database.

**Energy relative to the elements, uncorrected**: 0.650 eV per atom
**Calculated volume**: 39.970 Å³ per atom
**DOS(E_F)**: 3.8 states/eV/f.u.
**Total magnetic moment**: 0.000 μB per atom

a b c (Å): 5.5404 5.5404 6.5107
angles (deg): 90.00 90.00 90.00
Closest atoms and distances in Å follow each position.
Space group P4/mmm (No. 123)
Symmetry-distinct sites (fractional):
Ba: 0.0000 0.0000 0.0000 x1  4 P 2.77
P: 0.0000 0.5000 0.0000 x2  2 Ba 2.77
Pb: 0.5000 0.5000 0.5000 x1  4 I 3.92, 8 P 4.27
I: 0.0000 0.0000 0.5000 x1  2 Ba 3.26